Material: TaMn2Fe
Method: DFT, PBEsol
State: optimized geometry

Values from the calculation:
Uncorrected energy = -40.9 eV/cell
Energy of formation from the pure elements = 0.022 eV per atom

```
data_TaMn2Fe
_chemical_formula_sum 'Ta1 Mn2 Fe1'
_cell_length_a 4.0362
_cell_length_b 4.0362
_cell_length_c 3.0276
_cell_angle_alpha 90.00
_cell_angle_beta 90.00
_cell_angle_gamma 90.00
_symmetry_space_group_name_H-M 'P 4/m m m'
_symmetry_Int_Tables_number 123
_symmetry_space_group_name_Hall '-P 4 2'
loop_
_atom_site_label
_atom_site_fract_x
_atom_site_fract_y
_atom_site_fract_z
Ta1 0.0000 0.0000 0.0000
Mn1 0.0000 0.5000 0.5000
Fe1 0.5000 0.5000 0.0000
```